No. 1
Density functional theory data (meta-GGA SCAN) for a PBEsol-optimized structure of TlPdSe2Br.

a = 4.905 Å, b = 4.905 Å, c = 5.239 Å
α = 90.00°, β = 90.00°, γ = 90.00°
Fractional coordinates of all 5 atoms:
Tl (0.000, 0.000, 0.000)
Pd (0.500, 0.500, 0.500)
Se (0.000, 0.500, 0.500)
Se (0.500, 0.000, 0.500)
Br (0.500, 0.500, 0.000)

Properties
The space group is No. 123. Its total energy is -33.03 eV/atom.


No. 2
Density functional theory data (meta-GGA SCAN) for a PBEsol-optimized structure of ZrSi2As.

a = 5.239 Å, b = 5.239 Å, c = 5.239 Å
α = 136.67°, β = 136.67°, γ = 62.94°
Fractional coordinates of all 4 atoms:
Zr (0.000, 0.000, 0.000)
Si (0.250, 0.750, 0.500)
Si (0.500, 0.500, 0.000)
As (0.750, 0.250, 0.500)

Properties
The space group is No. 119. As for the relative energy among the computed polymorphs: 0 meV per atom.